No. 1
Nb12TlTe12As4 at its PBEsol-relaxed geometry. Source: Alexandria via LeMat-Bulk, functional SCAN.

Output
**Calculated total energy**: -1014.4 eV per formula unit
**Density of states at the Fermi level**: 0.316 states/eV per atom
**Formation energy without anion corrections**: -0.575 eV per atom
**Symmetry**: Cm

Cell: 10.9742 10.9742 10.3929 Å, 118.26 118.26 37.56°
With the nearest neighbours (Å) after each atom.
Atoms (fractional coordinates):
Nb (0.0000, 0.0000, 0.0000)  2 As 2.64, 4 Te 2.73-2.88
Nb (0.0031, 0.5038, 0.3759)  2 As 2.63-2.64, 4 Te 2.75-2.94
Nb (0.0617, 0.5595, 0.1223)  2 As 2.63-2.64, 4 Te 2.75-2.94
Nb (0.3157, 0.3157, 0.8804)  2 As 2.64, 4 Te 2.75-2.91
Nb (0.3757, 0.8777, 0.0079)  2 As 2.63-2.64, 4 Te 2.75-2.94
Nb (0.3770, 0.3770, 0.6285)  2 As 2.65, 4 Te 2.73-2.89
Nb (0.5006, 0.5006, 0.0000)  2 As 2.65, 4 Te 2.75-2.92
Nb (0.5038, 0.0031, 0.3759)  2 As 2.63-2.64, 4 Te 2.75-2.94
Nb (0.5595, 0.0617, 0.1223)  2 As 2.63-2.64, 4 Te 2.75-2.94
Nb (0.8135, 0.8135, 0.8748)  2 As 2.65, 4 Te 2.73-2.89
Nb (0.8746, 0.8746, 0.6282)  2 As 2.64, 4 Te 2.75-2.91
Nb (0.8777, 0.3757, 0.0079)  2 As 2.63-2.64, 4 Te 2.75-2.94
Tl (0.0635, 0.0635, 0.5013)  9 Te 3.23-3.61
Te (0.0363, 0.0363, 0.7817)  4 Nb 2.73-2.91
Te (0.1490, 0.6516, 0.4484)  4 Nb 2.75-2.94
Te (0.2314, 0.2314, 0.5569)  4 Nb 2.73-2.91
Te (0.3401, 0.8407, 0.2288)  4 Nb 2.75-2.94
Te (0.4255, 0.4255, 0.1738)  4 Nb 2.75-2.92
Te (0.4486, 0.9516, 0.8286)  4 Nb 2.75-2.94
Te (0.5375, 0.5375, 0.7801)  4 Nb 2.75-2.89
Te (0.6516, 0.1490, 0.4484)  4 Nb 2.75-2.94
Te (0.7278, 0.7278, 0.5537)  4 Nb 2.75-2.89
Te (0.8407, 0.3401, 0.2288)  4 Nb 2.75-2.94
Te (0.9229, 0.9229, 0.1662)  4 Nb 2.73-2.88
Te (0.9516, 0.4486, 0.8286)  4 Nb 2.75-2.94
As (0.1472, 0.6466, 0.8353)  6 Nb 2.64-2.65
As (0.2302, 0.2302, 0.1693)  6 Nb 2.63
As (0.6466, 0.1472, 0.8353)  6 Nb 2.64-2.65
As (0.7303, 0.7303, 0.1681)  6 Nb 2.64

No. 2
Tc2PRu at its PBEsol-relaxed geometry. Source: Alexandria via LeMat-Bulk, functional SCAN.

Output
**DFT formation energy**: 160.6 meV/atom
**Calculated total energy**: -114.7 eV per formula unit
**Density of states at the Fermi level**: 0.890 states/eV per atom
**Symmetry**: F-43m

Cell: 4.2136 4.2136 4.2136 Å, 60.00 60.00 60.00°
With the nearest neighbours (Å) after each atom.
Atoms (fractional coordinates):
Tc (0.0000, 0.0000, 0.0000)  4 Tc 2.58, 4 P 2.58
Tc (0.2500, 0.2500, 0.2500)  4 Ru 2.58, 4 Tc 2.58
P (0.7500, 0.7500, 0.7500)  4 Tc 2.58, 4 Ru 2.58
Ru (0.5000, 0.5000, 0.5000)  4 P 2.58, 4 Tc 2.58

No. 3
AlNiRh2 at its PBEsol-relaxed geometry. Source: Alexandria via LeMat-Bulk, functional SCAN.

Output
**DFT formation energy**: -500.2 meV/atom
**Calculated total energy**: -93.5 eV per formula unit
**Density of states at the Fermi level**: 1.002 states/eV per atom
**Symmetry**: Cm

Cell: 4.5902 4.5902 4.3496 Å, 103.35 103.35 34.81°
With the nearest neighbours (Å) after each atom.
Atoms (fractional coordinates):
Al (0.0000, 0.0000, 0.0000)  7 Rh 2.54-2.64, 3 Ni 2.54-2.78, 2 Al 2.75
Ni (0.2594, 0.2594, 0.7377)  3 Al 2.54-2.78, 7 Rh 2.56-2.59, 2 Ni 2.75
Rh (0.5083, 0.5083, 0.5142)  4 Al 2.54-2.61, 3 Ni 2.58-2.59, 5 Rh 2.68-2.75
Rh (0.7495, 0.7495, 0.2366)  4 Ni 2.56-2.59, 3 Al 2.58-2.64, 5 Rh 2.68-2.75

No. 4
BaScS2 at its PBEsol-relaxed geometry. Source: Alexandria via LeMat-Bulk, functional SCAN.

Output
**Calculated total energy**: -79.3 eV per formula unit
**Density of states at the Fermi level**: 0.657 states/eV per atom
**Formation energy without anion corrections**: -1.567 eV per atom
**Symmetry**: Fm-3m
**Polymorph energy (0 for the lowest one)**: 172.9 meV per atom

Cell: 4.9711 4.9711 4.9711 Å, 60.00 60.00 60.00°
With the nearest neighbours (Å) after each atom.
Atoms (fractional coordinates):
Ba (0.0000, 0.0000, 0.0000)  8 S 3.04
Sc (0.5000, 0.5000, 0.5000)  8 S 3.04
S (0.2500, 0.2500, 0.2500)  4 Ba 3.04, 4 Sc 3.04
S (0.7500, 0.7500, 0.7500)  4 Ba 3.04, 4 Sc 3.04